Below is an optimized crystal structure of Ca2MnPt, with properties calculated at the GGA-PBE level.

Cell lengths 5.693, 5.693, 5.693 Å; angles 135.39, 135.39, 64.92 degrees
Each line ends with the local moment (μB).
Element x y z (fractional)
Pt 0.750 0.250 0.500  0.08
Ca 0.000 0.000 0.000  -0.03
Mn 0.500 0.500 0.000  3.88
Ca 0.250 0.750 0.500  -0.02

* ΔE_f: -86 meV per atom
* crystal system: tetragonal
* SG: I-4m2, No. 119